Entry 1:
The following is a DFT calculation (GGA-PBEsol) of a geometry-optimized KCa2Mn structure. Values from VASP.

Spin magnetization, μB/atom: 1.039
Excess energy over the best structure of this formula in the dataset, eV/atom: 0.071
Space-group type: I4/mmm (139)
Volume, Å³/cell: 133.0

Quantum ESPRESSO input file:
```
&SYSTEM
  ibrav = 0, nat = 4, ntyp = 3
/
ATOMIC_SPECIES
Ca 40.08 Ca.upf
Mn 54.94 Mn.upf
K 39.10 K.upf
ATOMIC_POSITIONS angstrom
Ca -4.641 -3.173 -3.686
Ca -0.900 -2.526 -2.263
Mn 0.000 0.000 0.000
K -3.741 -0.646 -1.423
CELL_PARAMETERS angstrom
-4.187 3.333 -2.057
1.941 -4.407 -3.103
-3.295 -4.626 -0.789
```

=====

Entry 2:
The following is a DFT calculation (GGA-PBEsol) of a geometry-optimized TiZnBi2O6 structure. Values from VASP.

Spin magnetization, μB/atom: 0.000
Excess energy over the best structure of this formula in the dataset, eV/atom: 0.000
Space-group type: I4mm (107)
Volume, Å³/cell: 131.6
Formation energy (no corrections), meV per atom: -1811

Quantum ESPRESSO input file:
```
&SYSTEM
  ibrav = 0, nat = 10, ntyp = 4
/
ATOMIC_SPECIES
O 16.00 O.upf
Ti 47.87 Ti.upf
Bi 208.98 Bi.upf
Zn 65.41 Zn.upf
ATOMIC_POSITIONS angstrom
O 1.312 1.312 1.324
O 3.941 3.941 1.324
O 1.312 3.941 1.324
O 0.000 0.000 3.678
O 2.627 2.627 4.080
O 3.941 1.312 1.324
Ti 0.000 0.000 1.892
Bi 0.000 2.627 4.732
Bi 2.627 0.000 4.732
Zn 2.627 2.627 2.193
CELL_PARAMETERS angstrom
5.253 0.000 0.000
0.000 5.253 0.000
-2.627 -2.627 4.769
```

=====

Entry 3:
The following is a DFT calculation (GGA-PBEsol) of a geometry-optimized InIr structure. Values from VASP.

Spin magnetization, μB/atom: 0.000
Space-group type: Pmmn (59)
Volume, Å³/cell: 67.5
Uncorrected energy, eV per atom: -6.288

Quantum ESPRESSO input file:
```
&SYSTEM
  ibrav = 0, nat = 4, ntyp = 2
/
ATOMIC_SPECIES
Ir 192.22 Ir.upf
In 114.82 In.upf
ATOMIC_POSITIONS angstrom
Ir 1.505 4.179 0.000
Ir 0.000 0.457 2.421
In 0.000 1.822 0.000
In 1.505 2.814 2.421
CELL_PARAMETERS angstrom
3.009 0.000 0.000
0.000 4.635 0.000
0.000 0.000 4.841
```

=====

Entry 4:
The following is a DFT calculation (GGA-PBEsol) of a geometry-optimized RbNb2TlIn structure. Values from VASP.

Spin magnetization, μB/atom: 1.328
Space-group type: P4/mmm (123)
Volume, Å³/cell: 170.6
Uncorrected energy, eV per atom: -3.988

Quantum ESPRESSO input file:
```
&SYSTEM
  ibrav = 0, nat = 5, ntyp = 4
/
ATOMIC_SPECIES
Tl 204.38 Tl.upf
Rb 85.47 Rb.upf
In 114.82 In.upf
Nb 92.91 Nb.upf
ATOMIC_POSITIONS angstrom
Tl 0.000 0.000 0.000
Rb 2.737 2.737 2.846
In 0.000 0.000 2.846
Nb 0.000 2.737 0.000
Nb 2.737 0.000 0.000
CELL_PARAMETERS angstrom
5.475 0.000 0.000
0.000 5.475 0.000
0.000 0.000 5.692
```

=====

Entry 5:
The following is a DFT calculation (GGA-PBEsol) of a geometry-optimized TlSiIr2 structure. Values from VASP.

Spin magnetization, μB/atom: 0.001
Excess energy over the best structure of this formula in the dataset, eV/atom: 0.097
Space-group type: Fm-3m (225)
Volume, Å³/cell: 62.1
Formation energy (no corrections), meV per atom: 329

Quantum ESPRESSO input file:
```
&SYSTEM
  ibrav = 0, nat = 4, ntyp = 3
/
ATOMIC_SPECIES
Si 28.09 Si.upf
Ir 192.22 Ir.upf
Tl 204.38 Tl.upf
ATOMIC_POSITIONS angstrom
Si 0.000 0.000 0.000
Ir 0.324 0.117 8.159
Ir 0.108 0.039 2.720
Tl 0.216 0.078 5.440
CELL_PARAMETERS angstrom
-0.215 2.593 3.604
-1.875 -1.529 3.729
2.523 -0.908 3.546
```

=====

Entry 6:
The following is a DFT calculation (GGA-PBEsol) of a geometry-optimized Cd2InTe structure. Values from VASP.

Spin magnetization, μB/atom: 0.000
Excess energy over the best structure of this formula in the dataset, eV/atom: 0.046
Space-group type: I-4m2 (119)
Volume, Å³/cell: 101.7
Formation energy (no corrections), meV per atom: 63

Quantum ESPRESSO input file:
```
&SYSTEM
  ibrav = 0, nat = 4, ntyp = 3
/
ATOMIC_SPECIES
Cd 112.41 Cd.upf
Te 127.60 Te.upf
In 114.82 In.upf
ATOMIC_POSITIONS angstrom
Cd 0.000 0.000 0.000
Cd -2.759 0.128 1.677
Te -5.872 0.554 0.157
In -3.113 0.427 -1.521
CELL_PARAMETERS angstrom
-2.379 -2.159 -3.749
-2.405 -0.171 4.875
-3.847 3.012 0.707
```

=====

| no. | ρ (g/cm3) |
| --- | --- |
| 1 | 2.2 |
| 2 | 7.9 |
| 3 | 15.1 |
| 4 | 5.7 |
| 5 | 16.5 |
| 6 | 7.6 |